No. 1
{
  "formula": "Al2CrOs",
  "functional": "SCAN",
  "state": "single point on PBEsol structure",
  "sg": "Fm-3m, No. 225",
  "volume_a3_per_cell": 54.1,
  "energy_ev_per_fu": -108.13,
  "lattice": [[0.0000, 3.0021, 3.0021], [3.0021, 0.0000, 3.0021], [3.0021, 3.0021, 0.0000]],
  "species": ["Al", "Al", "Cr", "Os"],
  "fractional_positions": [[0.2500, 0.2500, 0.2500], [0.7500, 0.7500, 0.7500], [0.0000, 0.0000, 0.0000], [0.5000, 0.5000, 0.5000]]
}

***

No. 2
{
  "formula": "AlCrOs",
  "functional": "SCAN",
  "state": "single point on PBEsol structure",
  "sg": "Fmm2, No. 42",
  "volume_a3_per_cell": 39.9,
  "energy_ev_per_fu": -97.91,
  "lattice": [[0.0000, 2.2405, 6.2601], [1.4235, 0.0000, 6.2601], [1.4235, 2.2405, 0.0000]],
  "species": ["Al", "Cr", "Os"],
  "fractional_positions": [[0.0000, 0.0000, 0.0000], [0.6652, 0.6652, 0.3348], [0.3266, 0.3266, 0.6734]]
}

***

No. 3
{
  "formula": "AlCrOs",
  "functional": "SCAN",
  "state": "single point on PBEsol structure",
  "sg": "I4mm, No. 107",
  "volume_a3_per_cell": 38.4,
  "energy_ev_per_fu": -99.09,
  "lattice": [[-1.4460, 1.4460, 4.5929], [1.4460, -1.4460, 4.5929], [1.4460, 1.4460, -4.5929]],
  "species": ["Al", "Cr", "Os"],
  "fractional_positions": [[0.0000, 0.0000, 0.0000], [0.6668, 0.6668, 0.0000], [0.3235, 0.3235, 0.0000]]
}